1.
! PBE KMoSe, optimized geometry; values from VASP
! SG: P3m1
&SYSTEM
  ibrav = 0, nat = 3, ntyp = 3
/
ATOMIC_SPECIES
Se 78.96 Se.upf
K 39.10 K.upf
Mo 95.94 Mo.upf
CELL_PARAMETERS angstrom
3.348 0.000 0.000
-1.674 2.899 0.000
0.000 0.000 7.344
ATOMIC_POSITIONS angstrom
Se 1.674 0.966 4.535
K 0.000 0.000 7.198
Mo 0.000 1.933 2.955

=====

2.
! PBE KMo2Se, optimized geometry; values from VASP
! SG: Cmm2
&SYSTEM
  ibrav = 0, nat = 4, ntyp = 3
/
ATOMIC_SPECIES
Se 78.96 Se.upf
Mo 95.94 Mo.upf
K 39.10 K.upf
CELL_PARAMETERS angstrom
-0.029 0.218 -3.056
0.896 -2.774 0.944
-9.179 -3.009 -0.128
ATOMIC_POSITIONS angstrom
Se -4.237 -1.389 -0.059
Mo -1.822 -2.018 -1.088
Mo -0.527 -0.173 -0.007
K -6.316 -3.491 -1.150

=====

3.
! PBE KMoSe2, optimized geometry; values from VASP
! SG: Amm2
&SYSTEM
  ibrav = 0, nat = 4, ntyp = 3
/
ATOMIC_SPECIES
Se 78.96 Se.upf
K 39.10 K.upf
Mo 95.94 Mo.upf
CELL_PARAMETERS angstrom
-1.170 0.172 4.030
0.919 -3.908 0.433
6.976 -0.220 2.034
ATOMIC_POSITIONS angstrom
Se 1.045 -0.777 2.525
Se 6.615 -3.690 2.077
K 3.729 -2.382 1.184
Mo 0.201 -3.077 2.378

=====

4.
! PBE KMo2Se, optimized geometry; values from VASP
! SG: P4/mmm
&SYSTEM
  ibrav = 0, nat = 4, ntyp = 3
/
ATOMIC_SPECIES
K 39.10 K.upf
Mo 95.94 Mo.upf
Se 78.96 Se.upf
CELL_PARAMETERS angstrom
3.239 0.000 0.000
0.000 3.239 0.000
0.000 0.000 8.691
ATOMIC_POSITIONS angstrom
K 1.620 1.620 6.518
Mo 0.000 0.000 0.891
Mo 0.000 0.000 3.454
Se 1.620 1.620 2.173

=====

5.
! PBE KMoSe2, optimized geometry; values from VASP
! SG: P4/mmm
&SYSTEM
  ibrav = 0, nat = 4, ntyp = 3
/
ATOMIC_SPECIES
K 39.10 K.upf
Se 78.96 Se.upf
Mo 95.94 Mo.upf
CELL_PARAMETERS angstrom
-2.623 -1.202 -1.473
1.861 -1.112 -2.408
0.939 -6.778 3.858
ATOMIC_POSITIONS angstrom
K -0.146 -2.852 -0.976
Se 0.525 -3.785 2.154
Se 0.884 -6.382 3.633
Mo 0.323 -6.241 0.953

=====

6.
! PBE KMoSe, optimized geometry; values from VASP
! SG: F-43m
&SYSTEM
  ibrav = 0, nat = 3, ntyp = 3
/
ATOMIC_SPECIES
Mo 95.94 Mo.upf
Se 78.96 Se.upf
K 39.10 K.upf
CELL_PARAMETERS angstrom
5.032 0.000 0.000
2.516 4.358 0.000
2.516 1.453 4.108
ATOMIC_POSITIONS angstrom
Mo 5.032 2.905 2.054
Se 7.547 4.358 3.081
K 0.000 0.000 0.000

=====

| no. | raw formation energy (eV/atom) |
| --- | --- |
| 1 | 0.24 |
| 2 | 0.46 |
| 3 | -0.39 |
| 4 | 0.89 |
| 5 | -0.44 |
| 6 | 0.67 |